(1)
This record from the Alexandria database describes SbH2F after structural relaxation. The functional is PBE.

Properties
**E**: -3.227 eV/atom
**ρ**: 6.1 g/cm3
**DOS at the Fermi energy**: 0.22 states/eV/cell

Lattice parameters (Å, degrees): 3.795 3.795 3.795 60.00 60.00 60.00
Fractional coordinates of all 4 atoms:
Sb 0.500 0.500 0.500
H 0.250 0.250 0.250
H 0.750 0.750 0.750
F 0.000 0.000 0.000

(2)
This record from the Alexandria database describes SbHF2 after structural relaxation. The functional is PBE.

Properties
**E**: -3.447 eV/atom
**ρ**: 5.0 g/cm3
**DOS at the Fermi energy**: 0.93 states/eV/cell

Lattice parameters (Å, degrees): 6.477 6.477 6.477 28.12 28.12 28.12
Last column: magnetic moment on the atom in μB.
Fractional coordinates of all 4 atoms:
Sb 0.000 0.000 0.000  0.03
H 0.500 0.500 0.500  0.10
F 0.885 0.885 0.885  0.00
F 0.115 0.115 0.115  0.00

(3)
This record from the Alexandria database describes SbHF4 after structural relaxation. The functional is PBE.

Properties
**E**: -4.458 eV/atom
**ρ**: 3.1 g/cm3
**DOS at the Fermi energy**: 0.00 states/eV/cell

Lattice parameters (Å, degrees): 6.719 6.719 6.719 119.88 119.88 90.21
Fractional coordinates of all 12 atoms:
Sb 0.239 0.239 0.000
Sb 0.989 0.489 0.500
H 0.532 0.532 0.000
H 0.282 0.782 0.500
F 0.270 0.940 0.670
F 0.845 0.547 0.702
F 0.690 0.520 0.170
F 0.297 0.095 0.202
F 0.350 0.520 0.830
F 0.893 0.095 0.798
F 0.845 0.143 0.298
F 0.270 0.600 0.330

(4)
This record from the Alexandria database describes SbH6F12 after structural relaxation. The functional is PBE.

Properties
**E**: -4.091 eV/atom
**ρ**: 2.4 g/cm3
**DOS at the Fermi energy**: 19.00 states/eV/cell

Lattice parameters (Å, degrees): 6.279 6.279 6.279 90.75 90.75 90.75
Last column: magnetic moment on the atom in μB.
Fractional coordinates of all 19 atoms:
Sb 0.000 0.000 0.000  -0.02
H 0.277 0.316 0.517  0.00
H 0.684 0.483 0.723  0.00
H 0.483 0.723 0.684  0.00
H 0.723 0.684 0.483  0.00
H 0.316 0.517 0.277  0.00
H 0.517 0.277 0.316  0.00
F 0.381 0.204 0.533  0.06
F 0.204 0.533 0.381  0.06
F 0.533 0.381 0.204  0.06
F 0.619 0.796 0.467  0.06
F 0.796 0.467 0.619  0.06
F 0.467 0.619 0.796  0.06
F 0.067 0.903 0.718  0.14
F 0.282 0.933 0.097  0.14
F 0.097 0.282 0.933  0.14
F 0.933 0.097 0.282  0.14
F 0.718 0.067 0.903  0.14
F 0.903 0.718 0.067  0.14

(5)
This record from the Alexandria database describes SbHF2 after structural relaxation. The functional is PBE.

Properties
**E**: -3.663 eV/atom
**ρ**: 5.8 g/cm3
**DOS at the Fermi energy**: 0.03 states/eV/cell

Lattice parameters (Å, degrees): 4.028 4.028 4.028 60.00 60.00 60.00
Fractional coordinates of all 4 atoms:
Sb 0.500 0.500 0.500
H 0.000 0.000 0.000
F 0.250 0.250 0.250
F 0.750 0.750 0.750

(6)
This record from the Alexandria database describes SbH2F6 after structural relaxation. The functional is PBE.

Properties
**E**: -4.284 eV/atom
**ρ**: 3.6 g/cm3
**DOS at the Fermi energy**: 1.77 states/eV/cell

Lattice parameters (Å, degrees): 4.986 6.797 6.797 77.03 79.95 79.95
Fractional coordinates of all 18 atoms:
Sb 0.250 0.155 0.845
Sb 0.750 0.845 0.155
H 0.211 0.794 0.461
H 0.289 0.539 0.206
H 0.789 0.206 0.539
H 0.711 0.461 0.794
F 0.402 0.755 0.484
F 0.098 0.516 0.245
F 0.598 0.245 0.516
F 0.902 0.484 0.755
F 0.913 0.857 0.401
F 0.587 0.599 0.143
F 0.087 0.143 0.599
F 0.413 0.401 0.857
F 0.118 0.845 0.951
F 0.382 0.049 0.155
F 0.882 0.155 0.049
F 0.618 0.951 0.845

(7)
This record from the Alexandria database describes Sb3HF after structural relaxation. The functional is PBE.

Properties
**E**: -3.489 eV/atom
**ρ**: 6.6 g/cm3
**DOS at the Fermi energy**: 2.67 states/eV/cell

Lattice parameters (Å, degrees): 4.590 4.590 4.590 90.00 90.00 90.00
Fractional coordinates of all 5 atoms:
Sb 0.000 0.500 0.000
Sb 0.000 0.000 0.500
Sb 0.500 0.000 0.000
H 0.000 0.000 0.000
F 0.500 0.500 0.500

(8)
This record from the Alexandria database describes SbH2F4 after structural relaxation. The functional is PBE.

Properties
**E**: -4.213 eV/atom
**ρ**: 3.3 g/cm3
**DOS at the Fermi energy**: 0.84 states/eV/cell

Lattice parameters (Å, degrees): 4.871 5.533 7.127 38.82 109.98 90.00
Last column: magnetic moment on the atom in μB.
Fractional coordinates of all 7 atoms:
Sb 0.139 0.000 0.000  0.28
H 0.279 0.049 0.598  0.00
H 0.681 0.951 0.402  0.00
F 0.169 0.261 0.343  0.01
F 0.826 0.739 0.657  0.01
F 0.430 0.810 0.953  0.03
F 0.477 0.190 0.047  0.03